[1]
VASP calculation (PBE) on a relaxed structure of Ce3TmHf2N6.

The structure belongs to space group C2/m (No. 12); the cell edges are 5.832, 10.103 and 6.018 Å and the angles 90.00°, 108.83° and 90.00°. The distinct sites, in fractional coordinates, are Ce at (0.000, 0.000, 0.000), Ce at (0.000, 0.335, 0.000), Tm at (0.000, 0.500, 0.500), Hf at (0.000, 0.167, 0.500), N at (0.227, 0.000, 0.719) and N at (0.247, 0.327, 0.721).

Its formation energy without anion corrections is -1.68 eV per atom.

[2]
VASP calculation (PBE) on a relaxed structure of Cu3HgRu.

The structure belongs to space group Pm-3m (No. 221); the cell edges are 4.715, 4.715 and 4.715 Å and the angles 90.00°, 90.00° and 90.00°. The distinct sites, in fractional coordinates, are Cu at (0.000, 0.000, 0.500), Hg at (0.000, 0.000, 0.000) and Ru at (0.500, 0.500, 0.500).

Its energy above the most stable polymorph in this dataset is 362 meV/atom.

[3]
VASP calculation (PBE) on a relaxed structure of ZrBi2AsAu.

The structure belongs to space group P4/mmm (No. 123); the cell edges are 5.675, 5.675 and 5.199 Å and the angles 90.00°, 90.00° and 90.00°. The distinct sites, in fractional coordinates, are Zr at (0.000, 0.000, 0.000), Bi at (0.000, 0.500, 0.000), As at (0.500, 0.500, 0.500) and Au at (0.000, 0.000, 0.500).

The total energy comes out at -4.132 eV/atom.

[4]
VASP calculation (PBE) on a relaxed structure of NdMnCuC.

The structure belongs to space group P4/nmm (No. 129, origin choice 2); the cell edges are 3.411, 3.411 and 10.394 Å and the angles 90.00°, 90.00° and 90.00°. The distinct sites, in fractional coordinates, are Nd at (0.250, 0.250, 0.246), Mn at (0.250, 0.750, 0.000), Cu at (0.250, 0.750, 0.500) and C at (0.250, 0.250, 0.895).

The total energy comes out at -6.912 eV/atom.

[5]
VASP calculation (PBE) on a relaxed structure of La7Tb12Sc.

The structure belongs to space group Im-3m (No. 229); the cell edges are 11.479, 11.479 and 11.479 Å and the angles 90.00°, 90.00° and 90.00°. The distinct sites, in fractional coordinates, are La at (0.000, 0.000, 0.500), La at (0.250, 0.250, 0.250), Tb at (0.000, 0.219, 0.219) and Sc at (0.000, 0.000, 0.000).

Its energy above the most stable polymorph in this dataset is 387 meV/atom.

[6]
VASP calculation (PBE) on a relaxed structure of TbPmY3Th.

The structure belongs to space group Cmcm (No. 63); the cell edges are 5.907, 11.225 and 11.815 Å and the angles 90.00°, 90.00° and 90.00°. The distinct sites, in fractional coordinates, are Tb at (0.000, 0.167, 0.250), Pm at (0.000, 0.499, 0.750), Y at (0.000, 0.167, 0.750), Y at (0.000, 0.325, 0.001) and Th at (0.000, 0.000, 0.000).

The total energy comes out at -5.906 eV/atom.

| no. | density of states at the Fermi level (states/eV per atom) |
| --- | --- |
| 1 | 0.6079 |
| 2 | 1.0818 |
| 3 | 0.8945 |
| 4 | 0.5728 |
| 5 | 1.6849 |
| 6 | 1.9149 |